Entry 1:
Cs3KCd6: optimized geometry, PBE-GGA.

raw total energy: -0.945 eV per atom
calculated formation energy: -0.030 eV per atom
total moment: 0.00 μB per atom

a b c (Å): 7.6672 7.6672 13.7386
angles (deg): 111.33 111.33 42.94
Atoms (fractional coordinates):
Cs (0.0000, 0.0000, 0.0000)
Cs (0.1834, 0.1834, 0.7791)
Cs (0.8166, 0.8166, 0.2209)
K (0.5000, 0.5000, 0.5000)
Cd (0.1516, 0.6512, 0.7000)
Cd (0.2307, 0.2307, 0.5075)
Cd (0.3488, 0.8484, 0.3000)
Cd (0.6512, 0.1516, 0.7000)
Cd (0.7693, 0.7693, 0.4925)
Cd (0.8484, 0.3488, 0.3000)


Entry 2:
AcH2IrO8: optimized geometry, PBE-GGA.

raw total energy: -6.034 eV per atom
total moment: 0.16 μB per atom

a b c (Å): 4.7738 5.0754 6.6720
angles (deg): 88.77 88.36 62.00
Atoms (fractional coordinates):
Ac (0.0000, 0.0000, 0.0000)
H (0.4983, 0.9494, 0.3173)
H (0.5017, 0.0506, 0.6827)
Ir (0.5000, 0.5000, 0.5000)
O (0.0538, 0.5918, 0.4510)
O (0.1470, 0.4338, 0.0414)
O (0.3585, 0.7912, 0.6980)
O (0.4021, 0.8188, 0.2848)
O (0.5979, 0.1812, 0.7152)
O (0.6415, 0.2088, 0.3020)
O (0.8530, 0.5662, 0.9586)
O (0.9462, 0.4082, 0.5490)


Entry 3:
AcDyZnRu: optimized geometry, PBE-GGA.

raw total energy: -4.978 eV per atom
calculated formation energy: -0.163 eV per atom
total moment: 0.00 μB per atom

a b c (Å): 5.1426 5.1426 5.1426
angles (deg): 60.00 60.00 60.00
Atoms (fractional coordinates):
Ac (0.0000, 0.0000, 0.0000)
Dy (0.5000, 0.5000, 0.5000)
Zn (0.2500, 0.2500, 0.2500)
Ru (0.7500, 0.7500, 0.7500)